Record 1
16
Lattice="3.581 0.000 0.000 -1.791 5.812 0.000 0.000 0.000 11.532" Properties=species:S:1:pos:R:3 comment="GGA-PBE ThNp2RuC4, relaxed" density_g_cm3=11.83 formation_enthalpy_0k_ev_per_atom=0.0574 magnetic_moment_mub_per_atom=0.56 dos_at_fermi_per_ev_cell=20.07 pbc="T T T"
C 1.791 0.628 2.883
C 1.791 2.778 10.174
C 0.000 5.184 8.649
C 1.791 2.778 7.124
Np 1.791 1.486 0.526
C 0.000 3.034 1.358
C 0.000 0.000 0.000
Th 0.000 1.290 8.649
Np 0.000 4.326 6.292
Ru 1.791 4.082 8.649
Np 0.000 4.326 11.005
C 0.000 0.000 5.766
Np 1.791 1.486 5.239
Ru 0.000 1.729 2.883
Th 1.791 4.521 2.883
C 0.000 3.034 4.408

***

Record 2
12
Lattice="-3.784 2.686 -4.808 -5.057 -4.087 -1.406 -5.769 0.584 3.314" Properties=species:S:1:pos:R:3 comment="GGA-PBE Np6CS5, relaxed" density_g_cm3=10.92 magnetic_moment_mub_per_atom=1.99 dos_at_fermi_per_ev_cell=39.37 formation_energy_uncorrected_ev_per_atom=-1.10 pbc="T T T"
S -3.598 -1.177 0.622
S -7.228 -2.327 1.285
Np -2.055 -0.297 -1.463
C 0.000 0.000 0.000
Np -8.835 0.875 -1.944
Np -5.080 1.924 -2.761
S -4.420 -0.701 -3.107
Np -5.775 -1.692 -0.956
S -6.517 1.000 -0.507
S -8.092 -1.817 -2.393
Np -6.786 -1.104 -4.752
Np -9.529 -2.742 -0.139

***

Record 3
12
Lattice="3.570 0.000 0.000 0.000 6.558 0.000 0.000 0.000 8.189" Properties=species:S:1:pos:R:3 comment="GGA-PBE NpCS, relaxed" density_g_cm3=9.74 magnetic_moment_mub_per_atom=0.93 dos_at_fermi_per_ev_cell=20.40 formation_energy_uncorrected_ev_per_atom=-0.11 polymorph_energy_mev_per_atom=0 pbc="T T T"
S 2.678 1.639 4.482
Np 0.893 3.279 6.140
Np 2.678 3.278 2.048
Np 0.893 0.000 6.143
C 0.893 1.639 2.198
C 2.678 1.640 6.292
Np 2.678 6.557 2.046
C 0.893 4.918 1.897
S 0.893 1.640 0.388
S 2.678 4.918 7.801
S 0.893 4.918 3.707
C 2.678 4.919 5.991

***

Record 4
3
Lattice="-1.112 -0.855 -3.163 0.663 -3.330 0.667 -3.700 1.613 2.757" Properties=species:S:1:pos:R:3 comment="GGA-PBE NpCS, relaxed" density_g_cm3=9.21 magnetic_moment_mub_per_atom=0.95 dos_at_fermi_per_ev_cell=4.67 formation_energy_uncorrected_ev_per_atom=0.00 polymorph_energy_mev_per_atom=108 pbc="T T T"
C -1.999 -0.244 0.769
S -0.301 -0.037 0.116
Np -1.849 -2.291 -0.624

***

Record 5
4
Lattice="4.081 0.000 0.000 2.040 3.534 0.000 2.040 1.178 5.372" Properties=species:S:1:pos:R:3 comment="GGA-PBE Np2SbC, relaxed" density_g_cm3=13.03 magnetic_moment_mub_per_atom=0.00 dos_at_fermi_per_ev_cell=5.98 formation_energy_uncorrected_ev_per_atom=0.17 pbc="T T T"
Np 2.040 1.178 2.226
Np 6.121 3.534 3.147
C 4.081 2.356 2.686
Sb 0.000 0.000 0.000

***

Record 6
4
Lattice="-1.020 -2.717 -1.494 1.810 -1.341 -2.362 4.368 -6.109 4.561" Properties=species:S:1:pos:R:3 comment="GGA-PBE NpSc2C, relaxed" density_g_cm3=7.11 formation_enthalpy_0k_ev_per_atom=-0.0444 magnetic_moment_mub_per_atom=1.31 dos_at_fermi_per_ev_cell=6.34 pbc="T T T"
Sc 3.442 -7.131 -0.079
C 2.579 -5.084 0.353
Np 0.000 0.000 0.000
Sc 1.716 -3.036 0.784

***

Record 7
8
Lattice="-1.506 -2.488 1.563 4.524 -3.325 -0.933 3.685 0.536 4.405" Properties=species:S:1:pos:R:3 comment="GGA-PBE NpSc2TaC4, relaxed" density_g_cm3=9.02 formation_enthalpy_0k_ev_per_atom=-0.4347 magnetic_moment_mub_per_atom=0.18 dos_at_fermi_per_ev_cell=5.49 pbc="T T T"
C 6.062 -2.037 2.599
C 0.641 -3.240 2.435
C 3.204 -1.741 3.804
Sc 3.685 0.536 4.405
Sc 1.089 -0.976 2.984
Np 1.509 -2.907 0.315
C 3.499 -3.536 1.230
Ta 4.105 -1.395 1.736

***

Record 8
6
Lattice="-3.217 -0.329 0.244 0.565 -2.720 3.782 -0.016 4.997 6.508" Properties=species:S:1:pos:R:3 comment="GGA-PBE NpCSe, relaxed" density_g_cm3=9.10 magnetic_moment_mub_per_atom=1.23 dos_at_fermi_per_ev_cell=12.85 formation_energy_uncorrected_ev_per_atom=0.11 polymorph_energy_mev_per_atom=0 pbc="T T T"
Se -0.623 0.716 3.520
C -1.608 -0.164 0.122
Np -0.735 3.111 5.259
C 0.000 0.000 0.000
Se -2.045 1.232 7.015
Np -1.932 -1.164 5.275

***

Record 9
10
Lattice="-1.112 3.552 1.302 -4.516 -3.326 5.219 8.140 -0.899 3.435" Properties=species:S:1:pos:R:3 comment="GGA-PBE Np4CSe5, relaxed" density_g_cm3=8.86 magnetic_moment_mub_per_atom=1.40 dos_at_fermi_per_ev_cell=29.48 formation_energy_uncorrected_ev_per_atom=-0.75 pbc="T T T"
Np 5.980 1.917 5.849
Se -2.814 0.113 3.260
Se 0.926 -0.845 3.098
Se 3.616 1.775 4.218
Np 1.089 -2.445 7.603
Se -1.104 -2.448 5.738
Np -3.468 -2.591 4.107
Se 1.587 0.172 6.858
Np 1.423 1.772 2.353
C -0.556 1.776 0.651

***

Record 10
3
Lattice="-2.384 -0.785 2.393 -1.968 -1.474 -2.445 4.327 -3.033 0.805" Properties=species:S:1:pos:R:3 comment="GGA-PBE NpCSe, relaxed" density_g_cm3=9.53 magnetic_moment_mub_per_atom=0.99 dos_at_fermi_per_ev_cell=5.76 formation_energy_uncorrected_ev_per_atom=0.17 polymorph_energy_mev_per_atom=54 pbc="T T T"
C 1.076 -2.083 0.390
Np -1.251 -2.920 0.309
Se 0.149 -0.289 0.054

***

Record 11
4
Lattice="-0.235 -0.568 -3.385 2.398 -1.879 -1.600 -3.624 -7.585 -0.223" Properties=species:S:1:pos:R:3 comment="GGA-PBE Np2SiC, relaxed" density_g_cm3=10.19 magnetic_moment_mub_per_atom=1.51 dos_at_fermi_per_ev_cell=8.98 formation_energy_uncorrected_ev_per_atom=1.13 pbc="T T T"
Si -0.731 -5.016 -2.604
Np -2.544 -5.901 -0.581
C 0.000 0.000 0.000
Np 1.082 -4.131 -4.627

***

Record 12
16
Lattice="-0.590 0.003 3.134 -4.259 -2.920 -2.421 5.760 -9.306 1.093" Properties=species:S:1:pos:R:3 comment="GGA-PBE NpTa2SiC4, relaxed" density_g_cm3=11.67 magnetic_moment_mub_per_atom=0.43 dos_at_fermi_per_ev_cell=13.94 formation_energy_uncorrected_ev_per_atom=-0.19 pbc="T T T"
Si -0.040 -3.275 -0.004
Ta -0.252 -7.190 -0.040
Ta 1.164 -5.033 1.847
C 2.880 -4.653 0.547
Ta 2.158 -11.085 0.417
Np 3.377 -7.584 0.643
C -1.735 -2.651 -0.324
Ta -1.247 -1.138 1.389
C 0.527 -2.721 1.724
C 0.000 0.000 0.000
C 0.384 -9.502 0.082
C 2.647 -9.572 2.130
Si 0.951 -8.948 1.810
C 1.130 -7.122 1.842
C -0.219 -5.101 -0.036
Np -2.465 -4.639 1.163